The following is a DFT calculation (PBE) of a geometry-optimized AlCdCoMo structure.

```
data_AlCdCoMo
_chemical_formula_sum 'Al4 Cd4 Co4 Mo4'
_cell_length_a 6.261
_cell_length_b 6.261
_cell_length_c 6.261
_cell_angle_alpha 90.00
_cell_angle_beta 90.00
_cell_angle_gamma 90.00
_space_group_name_H-M_alt 'F -4 3 m'
_space_group_IT_number 216
_space_group_name_Hall 'F -4 2 3'
loop_
_atom_site_label
_atom_site_type_symbol
_atom_site_fract_x
_atom_site_fract_y
_atom_site_fract_z
_atom_site_occupancy
Al1 Al 0.000 0.000 0.000 1
Cd1 Cd 0.000 0.000 0.500 1
Co1 Co 0.250 0.250 0.250 1
Mo1 Mo 0.250 0.250 0.750 1
```

Summary:
total magnetization: 2.49 μB per formula unit
calculated volume: 15.34 Å³ per atom
DFT total energy: -5.312 eV per atom
energy relative to the lowest polymorph listed for this composition: 0 kJ/mol of formula units